(A)
# Be2Pd2O

Crystalline Be2Pd2O at its relaxed geometry (PBE, Alexandria via LeMat-Bulk).

Cell: 4.327 4.327 4.327 Å, 113.50 113.50 101.68°
Fractional positions:
Be 0.227 0.227 0.000
Be 0.773 0.773 0.000
Pd 0.250 0.750 0.500
Pd 0.750 0.250 0.500
O 0.500 0.500 0.000

Summary:
- total magnetic moment (μB per formula unit) = 0.000


(B)
# Be2Pd2O

Crystalline Be2Pd2O at its relaxed geometry (PBE, Alexandria via LeMat-Bulk).

Cell: 5.062 5.062 4.429 Å, 90.00 90.00 90.00°
Fractional positions:
Be 0.189 0.311 0.000
Be 0.311 0.811 0.000
Be 0.689 0.189 0.000
Be 0.811 0.689 0.000
Pd 0.178 0.678 0.500
Pd 0.322 0.178 0.500
Pd 0.678 0.822 0.500
Pd 0.822 0.322 0.500
O 0.000 0.000 0.000
O 0.500 0.500 0.000

Summary:
- total magnetic moment (μB per formula unit) = 0.000


The most stable of them is (B).


(A)
# BePt2O

Crystalline BePt2O at its relaxed geometry (PBE, Alexandria via LeMat-Bulk).

Cell: 7.586 7.586 7.586 Å, 150.31 150.31 42.49°
Fractional positions:
Be 0.000 0.000 0.000
Be 0.750 0.250 0.500
Pt 0.135 0.625 0.010
Pt 0.375 0.385 0.510
Pt 0.615 0.125 0.990
Pt 0.875 0.865 0.490
O 0.250 0.750 0.500
O 0.500 0.500 0.000

Summary:
- total magnetic moment (μB per formula unit) = 0.000


(B)
# BePt2O

Crystalline BePt2O at its relaxed geometry (PBE, Alexandria via LeMat-Bulk).

Cell: 4.046 4.046 4.046 Å, 60.00 60.00 60.00°
Fractional positions:
Be 0.000 0.000 0.000
Pt 0.250 0.250 0.250
Pt 0.750 0.750 0.750
O 0.500 0.500 0.500

Summary:
- total magnetic moment (μB per formula unit) = 0.000


The most stable of them is (A).